Record 1
A plane-wave DFT calculation with PBE-GGA was carried out for an optimized crystal structure of Mg3TeS6.

abc: 6.4839 6.4839 6.8925
angles: 61.94 61.94 60.00
Last column: nearest neighbours and their distance in Å.
Atoms (fractional coordinates):
Mg: 0.3609 0.3609 0.9173  6 S 2.51-2.75
Mg: 0.6468 0.6468 0.0596  6 S 2.58-2.62
Mg: 0.1523 0.1523 0.5431  6 S 2.55-2.60
Te: 0.8442 0.8442 0.4673  6 S 2.54-2.56
S: 0.9550 0.5604 0.2488  1 Te 2.54, 3 Mg 2.58-2.75
S: 0.2359 0.9550 0.2488  1 Te 2.54, 3 Mg 2.58-2.75
S: 0.5604 0.2359 0.2488  1 Te 2.54, 3 Mg 2.58-2.75
S: 0.0426 0.4433 0.7554  3 Mg 2.51-2.62, 1 Te 2.56
S: 0.7587 0.0426 0.7554  3 Mg 2.51-2.62, 1 Te 2.56
S: 0.4433 0.7587 0.7554  3 Mg 2.51-2.62, 1 Te 2.56

Record 2
A plane-wave DFT calculation with PBE-GGA was carried out for an optimized crystal structure of BaNaBe2Os.

abc: 4.7633 5.1388 4.7633
angles: 90.00 90.00 90.00
Last column: nearest neighbours and their distance in Å.
Atoms (fractional coordinates):
Na: 0.0000 0.0000 0.0000  4 Be 2.38, 2 Os 2.57
Os: 0.0000 0.5000 0.0000  2 Na 2.57
Ba: 0.5000 0.5000 0.5000  4 Os 3.37, 8 Be 3.50
Be: 0.0000 0.0000 0.5000  2 Na 2.38
Be: 0.5000 0.0000 0.0000  2 Na 2.38

Values from the calculation:
- DOS(E_F): 5.38 states/eV/cell

Record 3
A plane-wave DFT calculation with PBE-GGA was carried out for an optimized crystal structure of YMnRe.

abc: 5.3248 5.3248 5.3248
angles: 89.95 121.73 118.35
Last column: nearest neighbours and their distance in Å.
Atoms (fractional coordinates):
Y: 0.2500 0.1264 0.8764  6 Mn 3.07-3.15, 6 Re 3.10-3.17, 4 Y 3.22-3.30
Y: 0.7500 0.8736 0.1236  6 Mn 3.07-3.15, 6 Re 3.10-3.17, 4 Y 3.22-3.30
Mn: 0.0000 0.5000 0.5000  4 Re 2.66, 2 Mn 2.73
Mn: 0.5000 0.0000 0.5000  4 Re 2.66, 2 Mn 2.73
Re: 0.5000 0.5000 0.5000  2 Re 2.59, 4 Mn 2.66
Re: 0.0000 0.5000 0.0000  2 Re 2.59, 4 Mn 2.66

Values from the calculation:
- Excess energy over the best structure of this formula in the dataset: 0 meV per atom
- DOS(E_F): 5.68 states/eV/cell

Values for uncorrected energy, eV per atom, ordered as above
-3.92, -2.69, -9.42